Entry 1:
Material: LaNpFe2O6
Method: DFT, GGA+U
State: optimized geometry

a b c (Å): 5.5874 5.5929 5.8790
angles (deg): 89.19 61.87 60.05
With the nearest neighbours (Å) after each atom.
Element x y z (fractional)
La: 0.0000 0.0000 0.0000  6 O 2.35-2.56
Np: 0.0441 0.4783 0.4422  6 O 2.13-2.20
Fe: 0.4220 0.7897 0.3731  6 O 2.08-2.20
Fe: 0.4649 0.2690 0.8175  4 O 2.04-2.25
O: 0.2631 0.1771 0.6320  2 Fe 2.12-2.17, 1 Np 2.18
O: 0.2918 0.0764 0.1473  2 Fe 2.13-2.25, 1 Np 2.17, 1 La 2.37
O: 0.4916 0.4394 0.1624  1 Fe 2.09, 1 Np 2.14
O: 0.5561 0.5534 0.6397  2 Fe 2.04-2.20, 1 Np 2.20
O: 0.9127 0.6474 0.1619  1 Fe 2.08, 1 Np 2.13
O: 0.9388 0.8821 0.6285  2 Fe 2.12-2.15, 1 Np 2.19

Calculated values
- Size of the total moment: 6.00 Bohr magnetons per cell
- E_tot: -8.129 eV per atom
- Crystal system: triclinic


Entry 2:
Material: La7Fe2O16
Method: DFT, GGA+U
State: optimized geometry

a b c (Å): 7.7304 7.7304 7.0371
angles (deg): 106.72 106.72 87.92
With the nearest neighbours (Å) after each atom.
Element x y z (fractional)
La: 0.0000 0.0000 0.0000  4 O 2.35-2.39
La: 0.0142 0.5146 0.0902  2 O 2.25-2.43
La: 0.3742 0.8728 0.5396  3 O 2.29-2.51
La: 0.3825 0.3825 0.5365  7 O 2.39-2.66
La: 0.5146 0.0142 0.0902  2 O 2.25-2.43
La: 0.5289 0.5289 0.0966  8 O 2.57-2.62
La: 0.8728 0.3742 0.5396  3 O 2.29-2.51
Fe: 0.2078 0.2078 0.8121  6 O 1.84-2.02
Fe: 0.6948 0.6948 0.8043  6 O 1.85-1.99
O: 0.1510 0.1510 0.5145  1 Fe 1.93
O: 0.1869 0.6018 0.4214  3 La 2.25-2.39
O: 0.2115 0.4511 0.8361  1 Fe 1.84
O: 0.2132 0.9666 0.8137  1 Fe 1.87
O: 0.2690 0.2690 0.1245  1 Fe 2.02
O: 0.3480 0.8149 0.1948  2 La 2.29-2.43
O: 0.4511 0.2115 0.8361  1 Fe 1.84
O: 0.4571 0.6937 0.8130  1 Fe 1.86
O: 0.6018 0.1869 0.4214  3 La 2.25-2.39
O: 0.6056 0.6056 0.4970  1 Fe 1.99
O: 0.6860 0.9365 0.8154  1 Fe 1.85
O: 0.6937 0.4571 0.8130  1 Fe 1.86
O: 0.7667 0.7667 0.1057  1 Fe 1.94
O: 0.8149 0.3480 0.1948  2 La 2.29-2.43
O: 0.9365 0.6860 0.8154  1 Fe 1.85
O: 0.9666 0.2132 0.8137  1 Fe 1.87

Calculated values
- Size of the total moment: 4.84 Bohr magnetons per cell
- E_tot: -7.566 eV per atom
- Crystal system: monoclinic


Entry 3:
Material: La2Fe2O5
Method: DFT, GGA+U
State: optimized geometry

a b c (Å): 3.9920 4.1541 7.8512
angles (deg): 85.47 84.89 89.39
With the nearest neighbours (Å) after each atom.
Element x y z (fractional)
La: 0.0000 0.0000 0.0000  4 O 2.34-2.58
La: 0.0948 0.0763 0.5204  5 O 2.33-2.56
Fe: 0.5473 0.5360 0.7849  4 O 2.00-2.16
Fe: 0.6168 0.5919 0.2908  5 O 2.04-2.17
O: 0.0449 0.5281 0.8040  2 Fe 2.00
O: 0.0879 0.5963 0.3843  2 Fe 2.08-2.17
O: 0.4967 0.7079 0.0391  2 Fe 2.09-2.16, 1 La 2.34
O: 0.5682 0.0692 0.7139  2 Fe 2.06-2.24
O: 0.6518 0.1000 0.3034  2 Fe 2.04-2.13

Calculated values
- Energy above the most stable polymorph in this dataset: 0 meV/atom
- Size of the total moment: 8.00 Bohr magnetons per cell
- E_tot: -7.499 eV per atom
- Crystal system: triclinic


Entry 4:
Material: La2FeO
Method: DFT, GGA+U
State: optimized geometry

a b c (Å): 6.6562 6.6562 6.6562
angles (deg): 117.33 117.33 94.69
With the nearest neighbours (Å) after each atom.
Element x y z (fractional)
La: 0.0356 0.6250 0.9106  2 O 2.35
La: 0.3750 0.2856 0.4106  2 O 2.35
La: 0.7144 0.1250 0.0894  2 O 2.35
La: 0.8750 0.9644 0.5894  2 O 2.35
Fe: 0.2500 0.7500 0.5000  4 La 3.13
Fe: 0.5000 0.5000 0.0000  4 La 3.13
O: 0.0000 0.0000 0.0000  4 La 2.35
O: 0.7500 0.2500 0.5000  4 La 2.35

Calculated values
- Size of the total moment: 4.07 Bohr magnetons per cell
- E_tot: -5.985 eV per atom
- Crystal system: tetragonal


Entry 5:
Material: LaFeO3
Method: DFT, GGA+U
State: optimized geometry

a b c (Å): 6.9358 8.7272 5.6077
angles (deg): 90.00 90.00 90.00
With the nearest neighbours (Å) after each atom.
Element x y z (fractional)
La: 0.0000 0.0000 0.0000  6 O 2.44-2.47
La: 0.0000 0.5000 0.0000  6 O 2.44-2.47
La: 0.5000 0.0000 0.5000  6 O 2.44-2.47
La: 0.5000 0.5000 0.5000  6 O 2.44-2.47
Fe: 0.1098 0.2500 0.4935  3 O 1.77-1.79
Fe: 0.3902 0.7500 0.9935  3 O 1.77-1.79
Fe: 0.6098 0.2500 0.0065  3 O 1.77-1.79
Fe: 0.8902 0.7500 0.5065  3 O 1.77-1.79
O: 0.0250 0.2500 0.1913  1 Fe 1.79
O: 0.1871 0.0886 0.6576  1 Fe 1.77
O: 0.1871 0.4114 0.6576  1 Fe 1.77
O: 0.3129 0.5886 0.1576  1 Fe 1.77
O: 0.3129 0.9114 0.1576  1 Fe 1.77
O: 0.4750 0.7500 0.6913  1 Fe 1.79
O: 0.5250 0.2500 0.3087  1 Fe 1.79
O: 0.6871 0.0886 0.8424  1 Fe 1.77
O: 0.6871 0.4114 0.8424  1 Fe 1.77
O: 0.8129 0.5886 0.3424  1 Fe 1.77
O: 0.8129 0.9114 0.3424  1 Fe 1.77
O: 0.9750 0.7500 0.8087  1 Fe 1.79

Calculated values
- Size of the total moment: 4.00 Bohr magnetons per cell
- E_tot: -6.987 eV per atom
- Crystal system: orthorhombic


Entry 6:
Material: LaFeO3
Method: DFT, GGA+U
State: optimized geometry

a b c (Å): 3.9152 3.9152 3.9152
angles (deg): 90.00 90.00 90.00
With the nearest neighbours (Å) after each atom.
Element x y z (fractional)
La: 0.0000 0.0000 0.0000  12 O 2.77
Fe: 0.5000 0.5000 0.5000  6 O 1.96
O: 0.0000 0.5000 0.5000  2 Fe 1.96
O: 0.5000 0.0000 0.5000  2 Fe 1.96
O: 0.5000 0.5000 0.0000  2 Fe 1.96

Calculated values
- Size of the total moment: 5.00 Bohr magnetons per cell
- E_tot: -7.501 eV per atom
- Crystal system: cubic


Entry 7:
Material: La2Fe2O5
Method: DFT, GGA+U
State: optimized geometry

a b c (Å): 5.4465 5.7384 8.9845
angles (deg): 71.48 73.04 89.94
With the nearest neighbours (Å) after each atom.
Element x y z (fractional)
La: 0.0000 0.0000 0.0000  5 O 2.40-2.62
La: 0.2353 0.2827 0.4445  5 O 2.39-2.58
La: 0.4971 0.5337 0.0001  5 O 2.36-2.64
La: 0.7367 0.8165 0.4422  5 O 2.40-2.56
Fe: 0.0824 0.6127 0.7235  4 O 1.96-2.14
Fe: 0.3710 0.9078 0.2204  4 O 1.99-2.01
Fe: 0.5756 0.2137 0.7164  4 O 1.97-2.09
Fe: 0.8699 0.4069 0.2219  6 O 2.02-2.22
O: 0.0679 0.6809 0.2527  2 Fe 2.00-2.04
O: 0.1728 0.2052 0.1891  2 Fe 2.01-2.02
O: 0.1945 0.2630 0.7204  2 Fe 2.09-2.10
O: 0.2632 0.8467 0.5049  1 Fe 1.96
O: 0.4976 0.9661 0.9381  1 Fe 1.97
O: 0.5643 0.6055 0.2527  2 Fe 2.01-2.02
O: 0.6709 0.1382 0.1875  2 Fe 1.99-2.04
O: 0.6986 0.5492 0.7184  2 Fe 2.05-2.14
O: 0.7614 0.2027 0.4912  2 Fe 2.00-2.22
O: 0.9961 0.6088 0.9535  1 Fe 1.97

Calculated values
- Energy above the most stable polymorph in this dataset: 162 meV/atom
- Size of the total moment: 8.00 Bohr magnetons per cell
- E_tot: -7.337 eV per atom
- Crystal system: triclinic


Entry 8:
Material: La3FeO6
Method: DFT, GGA+U
State: optimized geometry

a b c (Å): 7.5913 7.5913 5.7352
angles (deg): 90.00 90.00 103.00
With the nearest neighbours (Å) after each atom.
Element x y z (fractional)
La: 0.1047 0.8953 0.5000  7 O 2.43-2.61
La: 0.1983 0.4129 0.5375  5 O 2.35-2.53
La: 0.4129 0.1983 0.0375  5 O 2.35-2.53
La: 0.5871 0.8017 0.5375  5 O 2.35-2.53
La: 0.8017 0.5871 0.0375  5 O 2.35-2.53
La: 0.8953 0.1047 0.0000  7 O 2.43-2.61
Fe: 0.3078 0.6922 0.0737  4 O 1.91-1.92
Fe: 0.6922 0.3078 0.5737  4 O 1.91-1.92
O: 0.0858 0.6086 0.2415  1 Fe 1.92
O: 0.1474 0.1711 0.2716  4 La 2.35-2.43
O: 0.1711 0.1474 0.7716  4 La 2.35-2.43
O: 0.2863 0.7137 0.7428  1 Fe 1.91
O: 0.3913 0.9142 0.2415  1 Fe 1.92
O: 0.4546 0.5454 0.2092  1 Fe 1.91
O: 0.5454 0.4546 0.7092  1 Fe 1.91
O: 0.6086 0.0858 0.7415  1 Fe 1.92
O: 0.7137 0.2863 0.2428  1 Fe 1.91
O: 0.8289 0.8526 0.2716  4 La 2.35-2.43
O: 0.8526 0.8289 0.7716  4 La 2.35-2.43
O: 0.9142 0.3913 0.7415  1 Fe 1.92

Calculated values
- Size of the total moment: 9.99 Bohr magnetons per cell
- E_tot: -8.016 eV per atom
- Crystal system: orthorhombic


Entry 9:
Material: La4FeO8
Method: DFT, GGA+U
State: optimized geometry

a b c (Å): 7.0141 7.0141 5.3548
angles (deg): 90.00 90.00 135.34
With the nearest neighbours (Å) after each atom.
Element x y z (fractional)
La: 0.1363 0.8637 0.0000  7 O 2.45-2.71
La: 0.3626 0.6374 0.5000  1 O 2.27
La: 0.6374 0.3626 0.5000  1 O 2.27
La: 0.8637 0.1363 0.0000  7 O 2.45-2.71
Fe: 0.5000 0.5000 0.0000  4 O 1.83
O: 0.1873 0.8127 0.5000  1 La 2.27
O: 0.2550 0.2550 0.2395  1 Fe 1.83
O: 0.2550 0.2550 0.7605  1 Fe 1.83
O: 0.3254 0.6746 0.0000  1 Fe 2.27, 1 La 2.45
O: 0.6746 0.3254 0.0000  1 Fe 2.27, 1 La 2.45
O: 0.7450 0.7450 0.2395  1 Fe 1.83
O: 0.7450 0.7450 0.7605  1 Fe 1.83
O: 0.8127 0.1873 0.5000  1 La 2.27

Calculated values
- Size of the total moment: 4.00 Bohr magnetons per cell
- E_tot: -7.861 eV per atom
- Crystal system: orthorhombic


Entry 10:
Material: LaFeO3
Method: DFT, GGA+U
State: optimized geometry

a b c (Å): 6.8508 10.8828 4.0063
angles (deg): 90.00 90.00 90.00
With the nearest neighbours (Å) after each atom.
Element x y z (fractional)
La: 0.0000 0.0000 0.0000  6 O 2.45-2.52
La: 0.0000 0.5000 0.0000  6 O 2.45-2.52
La: 0.5000 0.0000 0.5000  6 O 2.45-2.52
La: 0.5000 0.5000 0.5000  6 O 2.45-2.52
Fe: 0.1871 0.2500 0.3985  4 O 1.85-1.96
Fe: 0.3129 0.7500 0.8985  4 O 1.85-1.96
Fe: 0.6871 0.2500 0.1015  4 O 1.85-1.96
Fe: 0.8129 0.7500 0.6015  4 O 1.85-1.96
O: 0.0327 0.7500 0.9143  2 Fe 1.92-1.96
O: 0.1679 0.0837 0.4893  1 Fe 1.85
O: 0.1679 0.4163 0.4893  1 Fe 1.85
O: 0.3321 0.5837 0.9893  1 Fe 1.85
O: 0.3321 0.9163 0.9893  1 Fe 1.85
O: 0.4673 0.2500 0.4143  2 Fe 1.92-1.96
O: 0.5327 0.7500 0.5857  2 Fe 1.92-1.96
O: 0.6679 0.0837 0.0107  1 Fe 1.85
O: 0.6679 0.4163 0.0107  1 Fe 1.85
O: 0.8321 0.5837 0.5107  1 Fe 1.85
O: 0.8321 0.9163 0.5107  1 Fe 1.85
O: 0.9673 0.2500 0.0857  2 Fe 1.92-1.96

Calculated values
- Size of the total moment: 12.00 Bohr magnetons per cell
- E_tot: -7.426 eV per atom
- Crystal system: orthorhombic


> What is the formula in the fourth record?

La2FeO


Copy entry 10 word for word.
Material: LaFeO3
Method: DFT, GGA+U
State: optimized geometry

a b c (Å): 6.8508 10.8828 4.0063
angles (deg): 90.00 90.00 90.00
With the nearest neighbours (Å) after each atom.
Element x y z (fractional)
La: 0.0000 0.0000 0.0000  6 O 2.45-2.52
La: 0.0000 0.5000 0.0000  6 O 2.45-2.52
La: 0.5000 0.0000 0.5000  6 O 2.45-2.52
La: 0.5000 0.5000 0.5000  6 O 2.45-2.52
Fe: 0.1871 0.2500 0.3985  4 O 1.85-1.96
Fe: 0.3129 0.7500 0.8985  4 O 1.85-1.96
Fe: 0.6871 0.2500 0.1015  4 O 1.85-1.96
Fe: 0.8129 0.7500 0.6015  4 O 1.85-1.96
O: 0.0327 0.7500 0.9143  2 Fe 1.92-1.96
O: 0.1679 0.0837 0.4893  1 Fe 1.85
O: 0.1679 0.4163 0.4893  1 Fe 1.85
O: 0.3321 0.5837 0.9893  1 Fe 1.85
O: 0.3321 0.9163 0.9893  1 Fe 1.85
O: 0.4673 0.2500 0.4143  2 Fe 1.92-1.96
O: 0.5327 0.7500 0.5857  2 Fe 1.92-1.96
O: 0.6679 0.0837 0.0107  1 Fe 1.85
O: 0.6679 0.4163 0.0107  1 Fe 1.85
O: 0.8321 0.5837 0.5107  1 Fe 1.85
O: 0.8321 0.9163 0.5107  1 Fe 1.85
O: 0.9673 0.2500 0.0857  2 Fe 1.92-1.96

Calculated values
- Size of the total moment: 12.00 Bohr magnetons per cell
- E_tot: -7.426 eV per atom
- Crystal system: orthorhombic


What did the second record say?
Material: La7Fe2O16
Method: DFT, GGA+U
State: optimized geometry

a b c (Å): 7.7304 7.7304 7.0371
angles (deg): 106.72 106.72 87.92
With the nearest neighbours (Å) after each atom.
Element x y z (fractional)
La: 0.0000 0.0000 0.0000  4 O 2.35-2.39
La: 0.0142 0.5146 0.0902  2 O 2.25-2.43
La: 0.3742 0.8728 0.5396  3 O 2.29-2.51
La: 0.3825 0.3825 0.5365  7 O 2.39-2.66
La: 0.5146 0.0142 0.0902  2 O 2.25-2.43
La: 0.5289 0.5289 0.0966  8 O 2.57-2.62
La: 0.8728 0.3742 0.5396  3 O 2.29-2.51
Fe: 0.2078 0.2078 0.8121  6 O 1.84-2.02
Fe: 0.6948 0.6948 0.8043  6 O 1.85-1.99
O: 0.1510 0.1510 0.5145  1 Fe 1.93
O: 0.1869 0.6018 0.4214  3 La 2.25-2.39
O: 0.2115 0.4511 0.8361  1 Fe 1.84
O: 0.2132 0.9666 0.8137  1 Fe 1.87
O: 0.2690 0.2690 0.1245  1 Fe 2.02
O: 0.3480 0.8149 0.1948  2 La 2.29-2.43
O: 0.4511 0.2115 0.8361  1 Fe 1.84
O: 0.4571 0.6937 0.8130  1 Fe 1.86
O: 0.6018 0.1869 0.4214  3 La 2.25-2.39
O: 0.6056 0.6056 0.4970  1 Fe 1.99
O: 0.6860 0.9365 0.8154  1 Fe 1.85
O: 0.6937 0.4571 0.8130  1 Fe 1.86
O: 0.7667 0.7667 0.1057  1 Fe 1.94
O: 0.8149 0.3480 0.1948  2 La 2.29-2.43
O: 0.9365 0.6860 0.8154  1 Fe 1.85
O: 0.9666 0.2132 0.8137  1 Fe 1.87

Calculated values
- Size of the total moment: 4.84 Bohr magnetons per cell
- E_tot: -7.566 eV per atom
- Crystal system: monoclinic


> What is the E_tot in the third record?

-7.499 eV per atom